(1)
Material: Tl2WI
Method: DFT, PBE
State: optimized geometry

Values from the calculation:
SG   I-42d
Magnetic moment   5.75 Bohr magnetons per cell
Volume   304 Å³/cell
D(E_F)   0.294 states/eV/atom

abc: 5.8046 5.8046 9.9246
angles: 73.00 73.00 90.00
Fractional coordinates of all 8 atoms:
W (0.7500, 0.2500, 0.5000)
Tl (0.3750, 0.2588, 0.7500)
Tl (0.0088, 0.6250, 0.2500)
W (0.0000, 0.0000, 0.0000)
Tl (0.8750, 0.9912, 0.7500)
Tl (0.7412, 0.1250, 0.2500)
I (0.5000, 0.5000, 0.0000)
I (0.2500, 0.7500, 0.5000)

=====

(2)
Material: Tl2WI
Method: DFT, PBE
State: optimized geometry

Values from the calculation:
SG   Fm-3m
Magnetic moment   4.80 Bohr magnetons per cell
Volume   125 Å³/cell
D(E_F)   0.439 states/eV/atom

abc: 5.6101 5.6101 5.6101
angles: 60.00 60.00 60.00
Fractional coordinates of all 4 atoms:
I (0.0000, 0.0000, 0.0000)
Tl (0.7500, 0.7500, 0.7500)
Tl (0.2500, 0.2500, 0.2500)
W (0.5000, 0.5000, 0.5000)

=====

Q: Which of them is the least stable? A: (2).

=====

(1)
Material: TlWI2
Method: DFT, PBE
State: optimized geometry

Values from the calculation:
SG   Fm-3m
Magnetic moment   1.02 Bohr magnetons per cell
Volume   103 Å³/cell
D(E_F)   0.977 states/eV/atom

abc: 5.2571 5.2571 5.2571
angles: 60.00 60.00 60.00
Fractional coordinates of all 4 atoms:
Tl (0.5000, 0.5000, 0.5000)
I (0.7500, 0.7500, 0.7500)
I (0.2500, 0.2500, 0.2500)
W (0.0000, 0.0000, 0.0000)

=====

(2)
Material: TlWI2
Method: DFT, PBE
State: optimized geometry

Values from the calculation:
SG   I-42d
Magnetic moment   0.00 Bohr magnetons per cell
Volume   265 Å³/cell
D(E_F)   0.802 states/eV/atom

abc: 9.5722 9.5722 7.3593
angles: 49.43 49.43 90.00
Fractional coordinates of all 8 atoms:
Tl (0.7500, 0.2500, 0.5000)
I (0.4886, 0.1250, 0.2500)
I (0.2614, 0.6250, 0.2500)
W (0.5000, 0.5000, 0.0000)
I (0.3750, 0.5114, 0.7500)
I (0.8750, 0.7386, 0.7500)
W (0.2500, 0.7500, 0.5000)
Tl (0.0000, 0.0000, 0.0000)

=====

Q: Which of them is the least stable? A: (1).

=====

(1)
Material: YTl2I5
Method: DFT, PBE
State: optimized geometry

Values from the calculation:
SG   Pnma
Magnetic moment   0.00 Bohr magnetons per cell
Volume   1281 Å³/cell
D(E_F)   0.000 states/eV/atom

abc: 9.3596 9.6713 14.1479
angles: 90.00 90.00 90.00
Fractional coordinates of all 32 atoms:
I (0.1727, 0.9515, 0.0634)
I (0.3570, 0.2500, 0.2943)
Tl (0.9094, 0.4934, 0.6701)
Tl (0.5906, 0.0066, 0.1701)
Y (0.4218, 0.2500, 0.5063)
I (0.0927, 0.7500, 0.8064)
I (0.8273, 0.0485, 0.9366)
Tl (0.5906, 0.4934, 0.1701)
I (0.8570, 0.7500, 0.2057)
I (0.5784, 0.7500, 0.9942)
I (0.4073, 0.7500, 0.3064)
I (0.6430, 0.7500, 0.7057)
Y (0.9218, 0.7500, 0.9937)
I (0.9216, 0.7500, 0.4942)
I (0.6727, 0.0485, 0.4366)
Tl (0.9094, 0.0066, 0.6701)
Tl (0.4094, 0.5066, 0.8299)
I (0.4216, 0.2500, 0.0058)
I (0.1727, 0.5485, 0.0634)
Y (0.5782, 0.7500, 0.4937)
I (0.8273, 0.4515, 0.9366)
I (0.9073, 0.2500, 0.1936)
I (0.1430, 0.2500, 0.7943)
Y (0.0782, 0.2500, 0.0063)
I (0.0784, 0.2500, 0.5058)
I (0.5927, 0.2500, 0.6936)
Tl (0.4094, 0.9934, 0.8299)
Tl (0.0906, 0.9934, 0.3299)
Tl (0.0906, 0.5066, 0.3299)
I (0.3273, 0.5485, 0.5634)
I (0.3273, 0.9515, 0.5634)
I (0.6727, 0.4515, 0.4366)

=====

(2)
Material: YTl2I5
Method: DFT, PBE
State: optimized geometry

Values from the calculation:
SG   I4mm
Magnetic moment   0.00 Bohr magnetons per cell
Volume   485 Å³/cell
D(E_F)   0.000 states/eV/atom

abc: 8.4430 8.4431 9.0531
angles: 117.81 117.81 90.00
Fractional coordinates of all 8 atoms:
I (0.8001, 0.2865, 0.0865)
I (0.8001, 0.8001, 0.0867)
I (0.7754, 0.7754, 0.5513)
I (0.2863, 0.2863, 0.0862)
Tl (0.6712, 0.1713, 0.3422)
Y (0.9861, 0.9861, 0.9724)
Tl (0.1714, 0.6712, 0.3422)
I (0.2865, 0.8000, 0.0865)

=====

Q: Which of them is the least stable? A: (2).

=====

(1)
Material: YTlI2
Method: DFT, PBE
State: optimized geometry

Values from the calculation:
SG   Fm-3m
Magnetic moment   1.45 Bohr magnetons per cell
Volume   128 Å³/cell
D(E_F)   0.583 states/eV/atom

abc: 5.6554 5.6554 5.6554
angles: 60.00 60.00 60.00
Fractional coordinates of all 4 atoms:
I (0.7500, 0.7500, 0.7500)
Tl (0.5000, 0.5000, 0.5000)
Y (0.0000, 0.0000, 0.0000)
I (0.2500, 0.2500, 0.2500)

=====

(2)
Material: YTlI2
Method: DFT, PBE
State: optimized geometry

Values from the calculation:
SG   I-42d
Magnetic moment   0.00 Bohr magnetons per cell
Volume   362 Å³/cell
D(E_F)   0.557 states/eV/atom

abc: 10.5276 10.5276 8.1307
angles: 49.65 49.65 90.00
Fractional coordinates of all 8 atoms:
I (0.3750, 0.5039, 0.7500)
I (0.4961, 0.1250, 0.2500)
Y (0.2500, 0.7500, 0.5000)
Tl (0.7500, 0.2500, 0.5000)
Y (0.5000, 0.5000, 0.0000)
I (0.2539, 0.6250, 0.2500)
Tl (0.0000, 0.0000, 0.0000)
I (0.8750, 0.7461, 0.7500)

=====

Q: Which of them is the least stable? A: (1).